A plane-wave DFT calculation with PBE-GGA was carried out for a geometry-optimized NbRe2F2 structure. Values from VASP.

Calculated values
The density of states at the Fermi level comes out at 3.2 states/eV/f.u. The formation energy from raw total energies is 0.35 eV/atom. The final energy comes out at -7.392 eV per atom. As for the crystal system: tetragonal. For the calculated volume, the calculation gives 152.94 Å³ per cell. The value obtained for the total magnetic moment is 0.0 μB per formula unit.

Cell and atoms, written as Quantum ESPRESSO input:
```
&SYSTEM
  ibrav = 0, nat = 10, ntyp = 3
/
ATOMIC_SPECIES
Nb 92.91 Nb.upf
Re 186.21 Re.upf
F 19.00 F.upf
ATOMIC_POSITIONS angstrom
Nb 0.000 0.000 0.000
Nb 3.836 3.836 0.000
Re 0.856 2.979 0.000
Re 2.979 6.815 0.000
Re 4.692 0.856 0.000
Re 6.815 4.692 0.000
F 1.779 5.615 1.299
F 2.057 1.779 1.299
F 5.615 5.892 1.299
F 5.892 2.057 1.299
CELL_PARAMETERS angstrom
7.672 0.000 0.000
0.000 7.672 0.000
0.000 0.000 2.599
```